Computed, not measured: a relaxed structure of MgTlBr at the GGA-PBE level of DFT.

Output
The total energy is -2.44 eV per atom. As for the formation energy (no corrections): -0.56 eV per atom. As for the excess energy over the best structure of this formula in the dataset: 0.000 eV/atom.

Structure (CIF):
```
data_MgTlBr
_cell_length_a 16.4029
_cell_length_b 3.6281
_cell_length_c 6.2689
_cell_angle_alpha 90.00
_cell_angle_beta 90.00
_cell_angle_gamma 90.00
_symmetry_space_group_name_H-M 'A m m 2'
_symmetry_Int_Tables_number 38
_symmetry_space_group_name_Hall 'A 2 -2'
loop_
_atom_site_label
_atom_site_fract_x
_atom_site_fract_y
_atom_site_fract_z
Mg1 0.0000 0.0000 0.0000
Mg2 0.5000 0.0000 0.2230
Tl1 0.3441 0.0000 0.8893
Br1 0.1034 0.0000 0.3335
```